Record 1
{"formula": "BaAg2W", "functional": "PBEsol", "state": "relaxed", "lattice": [[-2.4117, 1.0538, 1.3945], [-0.6775, -4.7164, 2.3924], [3.0547, 1.6199, 4.0586]], "species": ["W", "Ag", "Ag", "Ba"], "fractional_positions": [[0.5000, 0.0000, 0.0000], [0.0000, 0.5000, 0.0000], [0.0000, 0.0000, 0.5000], [0.5000, 0.5000, 0.5000]], "e_form_ev_per_atom": 0.937, "sg": "P4/mmm", "volume_a3_per_cell": 84.67}



Record 2
{"formula": "Zr2ScGa2", "functional": "PBEsol", "state": "relaxed", "lattice": [[3.7594, 0.0000, 0.0000], [0.0000, 7.1803, 0.0000], [0.0000, 0.0000, 7.1803]], "species": ["Sc", "Sc", "Ga", "Ga", "Ga", "Ga", "Zr", "Zr", "Zr", "Zr"], "fractional_positions": [[0.0000, 0.0000, 0.0000], [0.0000, 0.5000, 0.5000], [0.0000, 0.3758, 0.8758], [0.0000, 0.1242, 0.3758], [0.0000, 0.6242, 0.1242], [0.0000, 0.8758, 0.6242], [0.5000, 0.1745, 0.6745], [0.5000, 0.8255, 0.3255], [0.5000, 0.3255, 0.1745], [0.5000, 0.6745, 0.8255]], "e_form_ev_per_atom": -0.585, "sg": "P4/mbm", "volume_a3_per_cell": 193.82}



Record 3
{"formula": "Ba3CaPt", "functional": "PBEsol", "state": "relaxed", "lattice": [[-3.5695, 4.3437, -2.5875], [-0.4501, -3.4278, -5.1334], [-5.0359, -2.7725, 2.2929]], "species": ["Ca", "Ba", "Ba", "Ba", "Pt"], "fractional_positions": [[0.5000, 0.5000, 0.5000], [0.0000, 0.5000, 0.0000], [0.0000, 0.0000, 0.5000], [0.5000, 0.0000, 0.0000], [0.0000, 0.0000, 0.0000]], "e_form_ev_per_atom": -0.309, "sg": "Pm-3m", "volume_a3_per_cell": 237.07}



Record 4
{"formula": "VPO5", "functional": "PBEsol", "state": "relaxed", "lattice": [[4.9680, -0.0094, 0.0000], [-2.0451, 6.5802, 0.0000], [0.0000, 0.0000, 10.2855]], "species": ["P", "P", "P", "P", "O", "O", "O", "O", "O", "O", "O", "O", "O", "O", "O", "O", "O", "O", "O", "O", "O", "O", "O", "O", "V", "V", "V", "V"], "fractional_positions": [[0.7422, 0.5277, 0.1497], [0.2578, 0.4723, 0.8503], [0.2422, 0.0277, 0.3503], [0.7578, 0.9723, 0.6497], [0.5023, 0.1577, 0.4185], [0.2216, 0.4966, 0.4575], [0.3221, 0.9566, 0.2172], [0.5312, 0.6503, 0.1771], [0.6779, 0.0434, 0.7828], [0.4186, 0.6627, 0.9285], [0.7216, 0.9966, 0.0425], [0.4977, 0.8423, 0.5815], [0.9977, 0.3423, 0.9185], [0.9688, 0.8497, 0.6771], [0.1779, 0.5434, 0.7172], [0.0814, 0.8373, 0.4285], [0.9186, 0.1627, 0.5715], [0.0312, 0.1503, 0.3229], [0.2784, 0.0034, 0.9575], [0.0023, 0.6577, 0.0815], [0.8221, 0.4566, 0.2828], [0.7784, 0.5034, 0.5425], [0.4688, 0.3497, 0.8229], [0.5814, 0.3373, 0.0715], [0.0974, 0.6735, 0.5741], [0.4026, 0.8265, 0.0741], [0.9026, 0.3265, 0.4259], [0.5974, 0.1735, 0.9259]], "sg": "P2_1/c", "volume_a3_per_cell": 336.04}



Record 5
{"formula": "BaY2HfMn", "functional": "PBEsol", "state": "relaxed", "lattice": [[5.2858, 0.0000, 0.0000], [0.0000, 5.4842, 0.0000], [0.0000, 0.0000, 5.4842]], "species": ["Y", "Y", "Hf", "Mn", "Ba"], "fractional_positions": [[0.0000, 0.0000, 0.5000], [0.0000, 0.5000, 0.0000], [0.5000, 0.0000, 0.0000], [0.5000, 0.5000, 0.5000], [0.0000, 0.0000, 0.0000]], "e_form_ev_per_atom": 1.712, "sg": "P4/mmm", "volume_a3_per_cell": 158.98}



Record 6
{"formula": "LaSc2Rh", "functional": "PBEsol", "state": "relaxed", "lattice": [[-3.2913, -0.1021, 0.2454], [-0.2536, -1.7652, -4.1364], [1.9166, -5.3070, 2.1473]], "species": ["Sc", "Sc", "Rh", "La"], "fractional_positions": [[0.1149, 0.0000, 0.2867], [0.8851, 0.0000, 0.7133], [0.5000, 0.5000, 0.5000], [0.5000, 0.5000, 0.0000]], "e_form_ev_per_atom": -0.231, "sg": "P2/m", "volume_a3_per_cell": 86.64}



Record 7
{"formula": "Ta2Te", "functional": "PBEsol", "state": "relaxed", "lattice": [[4.8488, 0.0000, 0.0000], [-2.4244, 4.1992, 0.0000], [0.0000, 0.0000, 5.5573]], "species": ["Ta", "Ta", "Ta", "Ta", "Te", "Te"], "fractional_positions": [[0.0000, 0.0000, 0.5000], [0.6667, 0.3333, 0.7500], [0.3333, 0.6667, 0.2500], [0.0000, 0.0000, 0.0000], [0.3333, 0.6667, 0.7500], [0.6667, 0.3333, 0.2500]], "sg": "P6_3/mmc", "volume_a3_per_cell": 113.15}



Record 8
{"formula": "KCrAu2", "functional": "PBEsol", "state": "relaxed", "lattice": [[4.5212, 0.0000, 0.0000], [2.2606, 4.5013, 0.0147], [2.2606, 1.3780, 4.2852]], "species": ["Cr", "K", "Au", "Au"], "fractional_positions": [[0.0000, 0.5000, 0.5000], [0.5000, 0.0000, 0.0000], [0.2902, 0.7098, 0.7098], [0.7098, 0.2902, 0.2902]], "e_form_ev_per_atom": 0.478, "sg": "Immm", "volume_a3_per_cell": 87.12}



Record 9
{"formula": "MnWSe", "functional": "PBEsol", "state": "relaxed", "lattice": [[-2.5426, 2.4709, 1.9810], [-3.8737, -1.0894, 0.5500], [-1.3223, -0.9962, 3.7086]], "species": ["Mn", "Se", "W"], "fractional_positions": [[0.5000, 0.5000, 0.5000], [0.2500, 0.2500, 0.2500], [0.0000, 0.0000, 0.0000]], "sg": "F-43m", "volume_a3_per_cell": 47.37}



Record 10
{"formula": "KHfAl3", "functional": "PBEsol", "state": "relaxed", "lattice": [[-0.2411, -5.2614, 0.8493], [5.0567, -0.4943, -1.6269], [1.6831, 0.7315, 5.0093]], "species": ["K", "Hf", "Al", "Al", "Al"], "fractional_positions": [[0.5000, 0.5000, 0.5000], [0.0000, 0.0000, 0.0000], [0.0000, 0.0000, 0.5000], [0.5000, 0.0000, 0.0000], [0.0000, 0.5000, 0.0000]], "e_form_ev_per_atom": 0.687, "sg": "Pm-3m", "volume_a3_per_cell": 151.84}



Record 11
{"formula": "LiTeAs3", "functional": "PBEsol", "state": "relaxed", "lattice": [[4.6140, 0.0000, 0.0000], [0.0000, 4.6140, 0.0000], [0.0000, 0.0000, 4.6140]], "species": ["As", "As", "As", "Li", "Te"], "fractional_positions": [[0.5000, 0.0000, 0.0000], [0.0000, 0.5000, 0.0000], [0.0000, 0.0000, 0.5000], [0.0000, 0.0000, 0.0000], [0.5000, 0.5000, 0.5000]], "sg": "Pm-3m", "volume_a3_per_cell": 98.23}



Record 12
{"formula": "Ag2CO3", "functional": "PBEsol", "state": "relaxed", "lattice": [[-3.5883, 2.5319, -4.3680], [-4.9874, -7.6514, -0.3380], [-0.5033, 5.4352, 7.9584]], "species": ["O", "O", "O", "O", "O", "O", "O", "O", "O", "O", "O", "O", "O", "O", "O", "O", "O", "O", "C", "C", "C", "C", "C", "C", "Ag", "Ag", "Ag", "Ag", "Ag", "Ag", "Ag", "Ag", "Ag", "Ag", "Ag", "Ag"], "fractional_positions": [[0.6335, 0.2543, 0.2667], [0.2863, 0.9141, 0.0726], [0.1679, 0.6584, 0.8359], [0.6182, 0.4833, 0.2375], [0.7042, 0.5858, 0.9084], [0.7137, 0.8415, 0.9274], [0.1198, 0.4833, 0.2375], [0.1334, 0.2543, 0.2667], [0.8666, 0.9876, 0.7333], [0.3665, 0.9876, 0.7333], [0.7526, 0.0168, 0.5042], [0.2520, 0.0168, 0.5042], [0.7480, 0.5126, 0.4958], [0.2958, 0.6774, 0.0916], [0.3818, 0.2459, 0.7625], [0.2474, 0.5126, 0.4958], [0.8321, 0.8224, 0.1641], [0.8802, 0.2459, 0.7625], [0.2500, 0.7500, 0.0001], [0.8333, 0.0834, 0.6667], [0.3333, 0.0834, 0.6667], [0.1667, 0.4167, 0.3333], [0.7500, 0.7499, 0.9999], [0.6667, 0.4167, 0.3333], [0.2468, 0.3910, 0.9936], [0.5000, 0.0963, 0.0000], [0.4296, 0.1028, 0.3590], [0.6728, 0.7501, 0.3463], [0.0737, 0.7563, 0.6476], [0.7532, 0.3974, 0.0064], [0.5704, 0.7439, 0.6410], [0.0000, 0.0963, 0.0000], [0.8264, 0.4038, 0.6537], [0.9263, 0.1087, 0.3524], [0.1736, 0.7501, 0.3463], [0.3272, 0.4038, 0.6537]], "sg": "Ima2", "volume_a3_per_cell": 448.06}



Record 13
{"formula": "Ta2PIr", "functional": "PBEsol", "state": "relaxed", "lattice": [[2.9370, 0.0000, 0.0000], [0.0000, 2.9370, 0.0000], [0.0000, 0.0000, 6.9285]], "species": ["Ta", "Ta", "Ir", "P"], "fractional_positions": [[0.0000, 0.0000, 0.2717], [0.0000, 0.0000, 0.7283], [0.5000, 0.5000, 0.0000], [0.5000, 0.5000, 0.5000]], "e_form_ev_per_atom": -0.536, "sg": "P4/mmm", "volume_a3_per_cell": 59.77}



Record 14
{"formula": "Cr2Rh2C", "functional": "PBEsol", "state": "relaxed", "lattice": [[2.7112, 0.0000, 0.0000], [1.3556, 2.3479, 0.0000], [1.3556, 0.7826, 8.6274]], "species": ["Rh", "Rh", "Cr", "Cr", "C"], "fractional_positions": [[0.8776, 0.8776, 0.3672], [0.1224, 0.1224, 0.6328], [0.3775, 0.3775, 0.8675], [0.6225, 0.6225, 0.1325], [0.0000, 0.0000, 0.0000]], "e_form_ev_per_atom": -0.155, "sg": "R-3m", "volume_a3_per_cell": 54.92}



Record 15
{"formula": "YFe2Pb", "functional": "PBEsol", "state": "relaxed", "lattice": [[-2.4537, -0.6147, 2.3683], [-1.3901, -2.4099, -2.0657], [3.5696, -4.2775, 2.5882]], "species": ["Y", "Pb", "Fe", "Fe"], "fractional_positions": [[0.5000, 0.5000, 0.5000], [0.5000, 0.5000, 0.0000], [0.0000, 0.0000, 0.2043], [0.0000, 0.0000, 0.7957]], "e_form_ev_per_atom": 0.319, "sg": "P4/mmm", "volume_a3_per_cell": 73.76}



Record 16
{"formula": "Be2IrRh", "functional": "PBEsol", "state": "relaxed", "lattice": [[-0.0781, 2.6553, -0.9254], [0.6351, -0.0296, -4.4140], [-3.4907, 0.4319, -2.7415]], "species": ["Be", "Be", "Ir", "Rh"], "fractional_positions": [[0.7486, 0.2514, 0.2514], [0.2514, 0.7486, 0.7486], [0.5000, 0.0000, 0.0000], [0.0000, 0.5000, 0.5000]], "e_form_ev_per_atom": -0.290, "sg": "Immm", "volume_a3_per_cell": 45.22}



Record 17
{"formula": "KTl2Sb", "functional": "PBEsol", "state": "relaxed", "lattice": [[3.7140, 0.0000, 0.2171], [0.0000, 5.1448, 0.0000], [-0.4230, 0.0000, 6.7582]], "species": ["Tl", "Tl", "Sb", "K"], "fractional_positions": [[0.6272, 0.5000, 0.1538], [0.1260, 0.0000, 0.0408], [0.1238, 0.5000, 0.7691], [0.6229, 0.0000, 0.5364]], "sg": "Pm", "volume_a3_per_cell": 129.61}



Record 18
{"formula": "ReTcW2", "functional": "PBEsol", "state": "relaxed", "lattice": [[-0.7386, 4.2312, -0.9457], [-4.0955, 1.5985, 0.1238], [-1.1750, 2.7931, 3.1877]], "species": ["W", "W", "Tc", "Re"], "fractional_positions": [[0.7500, 0.7500, 0.7500], [0.2500, 0.2500, 0.2500], [0.5000, 0.5000, 0.5000], [0.0000, 0.0000, 0.0000]], "e_form_ev_per_atom": 0.085, "sg": "Fm-3m", "volume_a3_per_cell": 60.16}



Record 19
{"formula": "Te3Se", "functional": "PBEsol", "state": "relaxed", "lattice": [[-4.1897, 5.7162, 2.4096], [-5.0762, -1.1373, -6.1283], [-6.1937, -7.2710, 6.4797]], "species": ["Te", "Te", "Te", "Te", "Te", "Te", "Te", "Te", "Te", "Te", "Te", "Te", "Te", "Te", "Te", "Te", "Te", "Te", "Se", "Se", "Se", "Se", "Se", "Se"], "fractional_positions": [[0.8340, 0.2448, 0.6702], [0.1660, 0.7448, 0.1702], [0.1660, 0.2552, 0.8298], [0.4935, 0.7653, 0.0000], [0.6528, 0.5000, 0.8366], [0.8340, 0.2448, 0.3298], [0.3472, 0.0000, 0.6634], [0.1660, 0.7448, 0.8298], [0.0045, 0.0000, 0.0000], [0.8340, 0.7552, 0.6702], [0.6528, 0.5000, 0.1634], [0.1660, 0.2552, 0.1702], [0.8340, 0.7552, 0.3298], [0.9955, 0.5000, 0.5000], [0.3472, 0.0000, 0.3366], [0.5065, 0.7347, 0.5000], [0.5065, 0.2653, 0.5000], [0.4935, 0.2347, 0.0000], [0.0741, 0.0000, 0.5000], [0.6693, 0.0000, 0.1905], [0.6693, 0.0000, 0.8095], [0.3307, 0.5000, 0.3095], [0.9259, 0.5000, 0.0000], [0.3307, 0.5000, 0.6905]], "sg": "Pmmn", "volume_a3_per_cell": 694.51}



Record 20
{"formula": "La3In", "functional": "PBEsol", "state": "relaxed", "lattice": [[3.9705, 0.0000, 0.0000], [0.0000, 5.5685, 0.0000], [-1.9853, -2.7842, 5.7759]], "species": ["La", "La", "La", "In"], "fractional_positions": [[0.7268, 0.2268, 0.4537], [0.2732, 0.7732, 0.5463], [0.5000, 0.5000, 0.0000], [0.0000, 0.0000, 0.0000]], "e_form_ev_per_atom": -0.239, "sg": "Immm", "volume_a3_per_cell": 127.70}



The evaluated energy for the records listed, in turn: -18.8; -68.8; -17.1; -227.9; -27.5; -27.6; -54.7; -17.3; -25.2; -20.5; -18.4; -216.7; -42.9; -47.2; -27.5; -27.1; -11.5; -51.9; -85.1; -20.0 eV for the cell shown.